The following is a GGA-PBE calculation of a geometry-optimized Na2Tl4Sb2Pb structure, from the Alexandria database.

Computed properties:
Calculated total energy   -2.74 eV/atom

abc: 6.483 7.630 9.163
angles: 129.86 117.39 88.31
Atoms (fractional coordinates):
1 Tl 0.822 0.842 0.500
2 Tl 0.178 0.158 0.500
3 Tl 0.550 0.746 0.963
4 Tl 0.450 0.254 0.037
5 Na 0.277 0.648 0.467
6 Na 0.723 0.352 0.533
7 Sb 0.766 0.305 0.878
8 Sb 0.234 0.695 0.122
9 Pb 0.000 0.000 0.000



The following is a GGA-PBE calculation of a geometry-optimized Cd2Ga2Ag3 structure, from the Alexandria database.

Computed properties:
Calculated total energy   -2.35 eV/atom

abc: 4.737 4.964 7.264
angles: 110.10 82.76 122.13
Atoms (fractional coordinates):
1 Cd 0.305 0.728 0.149
2 Cd 0.695 0.272 0.851
3 Ag 0.397 0.550 0.707
4 Ag 0.603 0.450 0.293
5 Ag 0.000 0.000 0.000
6 Ga 0.926 0.165 0.400
7 Ga 0.074 0.835 0.600



The following is a GGA-PBE calculation of a geometry-optimized YSc2Te structure, from the Alexandria database.

Computed properties:
Calculated total energy   -5.74 eV/atom

abc: 5.213 5.213 5.213
angles: 60.00 60.00 60.00
Site moments in Bohr magnetons follow the coordinates.
Atoms (fractional coordinates):
1 Sc 0.250 0.250 0.250  0.11
2 Sc 0.000 0.000 0.000  0.37
3 Y 0.750 0.750 0.750  0.06
4 Te 0.500 0.500 0.500  -0.01



The following is a GGA-PBE calculation of a geometry-optimized InW3 structure, from the Alexandria database.

Computed properties:
Calculated total energy   -9.95 eV/atom

abc: 5.360 5.360 4.579
angles: 64.64 64.64 35.71
Atoms (fractional coordinates):
1 W 0.236 0.236 0.264
2 W 0.500 0.500 0.500
3 W 0.764 0.764 0.736
4 In 0.000 0.000 0.000



The following is a GGA-PBE calculation of a geometry-optimized Nd3Fe3I structure, from the Alexandria database.

Computed properties:
Calculated total energy   -6.10 eV/atom

abc: 4.052 9.963 9.963
angles: 120.00 90.00 90.00
Site moments in Bohr magnetons follow the coordinates.
Atoms (fractional coordinates):
1 Nd 0.750 0.927 0.621  -0.15
2 Nd 0.750 0.379 0.307  -0.15
3 Nd 0.250 0.073 0.379  -0.15
4 Nd 0.250 0.307 0.927  -0.15
5 Nd 0.250 0.621 0.693  -0.15
6 Nd 0.750 0.693 0.073  -0.15
7 Fe 0.250 0.145 0.134  1.86
8 Fe 0.750 0.855 0.866  1.86
9 Fe 0.250 0.988 0.855  1.86
10 Fe 0.250 0.866 0.012  1.86
11 Fe 0.750 0.134 0.988  1.86
12 Fe 0.750 0.012 0.145  1.86
13 I 0.750 0.333 0.667  0.00
14 I 0.250 0.667 0.333  0.00



The following is a GGA-PBE calculation of a geometry-optimized Pr4TePtBr2 structure, from the Alexandria database.

Computed properties:
Calculated total energy   -5.20 eV/atom

abc: 4.263 7.990 7.657
angles: 108.35 90.00 90.00
Atoms (fractional coordinates):
1 Br 0.000 0.500 0.500
2 Br 0.500 0.000 0.500
3 Pr 0.000 0.288 0.788
4 Pr 0.000 0.712 0.212
5 Pr 0.500 0.730 0.764
6 Pr 0.500 0.270 0.236
7 Te 0.000 0.000 0.000
8 Pt 0.500 0.500 0.000



The following is a GGA-PBE calculation of a geometry-optimized YPaCd4 structure, from the Alexandria database.

Computed properties:
Calculated total energy   -3.28 eV/atom

abc: 5.900 5.900 5.900
angles: 60.00 60.00 60.00
Site moments in Bohr magnetons follow the coordinates.
Atoms (fractional coordinates):
1 Cd 0.625 0.125 0.625  0.00
2 Cd 0.625 0.625 0.125  0.00
3 Cd 0.125 0.625 0.625  0.00
4 Cd 0.625 0.625 0.625  0.00
5 Y 0.000 0.000 0.000  0.23
6 Pa 0.250 0.250 0.250  1.00



The following is a GGA-PBE calculation of a geometry-optimized RbScFe2P structure, from the Alexandria database.

Computed properties:
Calculated total energy   -5.46 eV/atom

abc: 4.335 5.030 4.335
angles: 90.00 90.00 90.00
Site moments in Bohr magnetons follow the coordinates.
Atoms (fractional coordinates):
1 Rb 0.500 0.500 0.500  -0.04
2 Fe 0.500 0.000 0.000  2.49
3 Fe 0.000 0.000 0.500  2.16
4 Sc 0.000 0.500 0.000  -0.26
5 P 0.000 0.000 0.000  -0.01



The following is a GGA-PBE calculation of a geometry-optimized UVTcW structure, from the Alexandria database.

Computed properties:
Calculated total energy   -10.69 eV/atom

abc: 4.532 4.532 4.532
angles: 60.00 60.00 60.00
Site moments in Bohr magnetons follow the coordinates.
Atoms (fractional coordinates):
1 Tc 0.250 0.250 0.250  -0.02
2 U 0.750 0.750 0.750  1.03
3 W 0.000 0.000 0.000  -0.01
4 V 0.500 0.500 0.500  0.03



The following is a GGA-PBE calculation of a geometry-optimized LiAg3 structure, from the Alexandria database.

Computed properties:
Calculated total energy   -2.72 eV/atom

abc: 5.833 5.042 9.387
angles: 90.00 90.00 90.00
Atoms (fractional coordinates):
1 Ag 0.883 0.083 0.250
2 Ag 0.872 0.751 0.998
3 Ag 0.372 0.749 0.002
4 Ag 0.872 0.751 0.502
5 Ag 0.128 0.249 0.498
6 Ag 0.617 0.583 0.250
7 Ag 0.383 0.417 0.750
8 Ag 0.117 0.917 0.750
9 Ag 0.372 0.749 0.498
10 Ag 0.628 0.251 0.502
11 Ag 0.128 0.249 0.002
12 Ag 0.628 0.251 0.998
13 Li 0.389 0.080 0.250
14 Li 0.611 0.920 0.750
15 Li 0.111 0.580 0.250
16 Li 0.889 0.420 0.750



The following is a GGA-PBE calculation of a geometry-optimized LiCr2In2 structure, from the Alexandria database.

Computed properties:
Calculated total energy   -5.00 eV/atom

abc: 7.685 7.685 3.067
angles: 90.00 90.00 90.00
Atoms (fractional coordinates):
1 In 0.700 0.800 0.500
2 In 0.300 0.200 0.500
3 In 0.800 0.300 0.500
4 In 0.200 0.700 0.500
5 Cr 0.912 0.588 0.000
6 Cr 0.088 0.412 0.000
7 Cr 0.588 0.088 0.000
8 Cr 0.412 0.912 0.000
9 Li 0.500 0.500 0.000
10 Li 0.000 0.000 0.000



The following is a GGA-PBE calculation of a geometry-optimized TlAg2W structure, from the Alexandria database.

Computed properties:
Calculated total energy   -4.65 eV/atom
Energy relative to the lowest polymorph listed for this composition   22 meV per atom

abc: 2.880 2.880 9.130
angles: 90.00 90.00 90.00
Atoms (fractional coordinates):
1 Tl 0.000 0.000 0.507
2 Ag 0.000 0.000 0.995
3 Ag 0.500 0.500 0.231
4 W 0.500 0.500 0.767